The following is a PBE calculation of a geometry-optimized SrGaHg structure, from OQMD via LeMat-Bulk.

**Polymorph energy (0 for the lowest one)**: 0 meV/atom
**Volume**: 372 Å³/cell

Lattice parameters (Å, degrees): 7.189 7.189 7.189 90.00 90.00 90.00
Space group F-43m (No. 216)
Symmetry-distinct sites (fractional):
Sr1 0.000 0.000 0.000
Ga1 0.000 0.000 0.500
Hg1 0.250 0.250 0.750